[1]
Entry from Alexandria via LeMat-Bulk: an optimized crystal structure of Ac5PmDy2 (PBE).

As for the energy of formation: 41 meV per atom. For the mass density, the calculation gives 8.366 Mg/m³. The value obtained for the density of states at the Fermi level is 1.302 states/eV/atom. For the total energy, the calculation gives -68.34 eV per cell.

The space group is Pbam (No. 55) and the conventional cell measures 7.638, 15.276 and 5.461 Å, with angles of 90.00, 90.00 and 90.00 degrees. The asymmetric unit holds Ac at (0.000, 0.000, 0.000), Ac at (0.009, 0.253, 0.000), Ac at (0.242, 0.622, 0.500), Pm at (0.000, 0.500, 0.000) and Dy at (0.245, 0.876, 0.500).

=====

[2]
Entry from Alexandria via LeMat-Bulk: an optimized crystal structure of Ac5PmDy (PBE).

As for the energy of formation: 227 meV per atom. For the mass density, the calculation gives 8.030 Mg/m³. The value obtained for the density of states at the Fermi level is 1.469 states/eV/atom. For the total energy, the calculation gives -113.21 eV per cell.

The space group is C2/c (No. 15) and the conventional cell measures 6.970, 24.510 and 7.187 Å, with angles of 90.00, 103.63 and 90.00 degrees. The asymmetric unit holds Ac at (0.000, 0.137, 0.250), Ac at (0.028, 0.296, 0.502), Ac at (0.235, 0.047, 0.660), Pm at (0.000, 0.169, 0.750) and Dy at (0.000, 0.420, 0.750).

=====

[3]
Entry from Alexandria via LeMat-Bulk: an optimized crystal structure of Ac2Pm3Dy6 (PBE).

As for the energy of formation: 184 meV per atom. For the mass density, the calculation gives 7.719 Mg/m³. The value obtained for the density of states at the Fermi level is 1.391 states/eV/atom. For the total energy, the calculation gives -96.11 eV per cell.

The space group is C2/m (No. 12) and the conventional cell measures 6.252, 10.842 and 12.015 Å, with angles of 90.00, 100.00 and 90.00 degrees. The asymmetric unit holds Ac at (0.000, 0.167, 0.000), Pm at (0.000, 0.000, 0.500), Pm at (0.000, 0.336, 0.500), Dy at (0.247, 0.500, 0.742) and Dy at (0.248, 0.166, 0.742).

=====

[4]
Entry from Alexandria via LeMat-Bulk: an optimized crystal structure of Ac3Pm7Dy2 (PBE).

As for the energy of formation: 222 meV per atom. For the mass density, the calculation gives 7.280 Mg/m³. The value obtained for the density of states at the Fermi level is 1.511 states/eV/atom. For the total energy, the calculation gives -52.12 eV per cell.

The space group is P2/m (No. 10) and the conventional cell measures 3.787, 5.835 and 20.945 Å, with angles of 90.00, 95.18 and 90.00 degrees. The asymmetric unit holds Ac at (0.000, 0.000, 0.000), Ac at (0.325, 0.500, 0.650), Pm at (0.087, 0.500, 0.174), Pm at (0.218, 0.000, 0.435), Pm at (0.429, 0.000, 0.858), Pm at (0.500, 0.500, 0.000) and Dy at (0.139, 0.000, 0.279).

=====

[5]
Entry from Alexandria via LeMat-Bulk: an optimized crystal structure of Ac2Pm7Dy4 (PBE).

As for the energy of formation: 203 meV per atom. For the mass density, the calculation gives 7.656 Mg/m³. The value obtained for the density of states at the Fermi level is 1.413 states/eV/atom. For the total energy, the calculation gives -57.24 eV per cell.

The space group is P-31m (No. 162) and the conventional cell measures 6.3046, 6.3046 and 13.3516 Å, with angles of 90.00, 90.00 and 120.00 degrees. The asymmetric unit holds Ac at (0.3333, 0.6667, 0.0000), Pm at (0.0000, 0.0000, 0.0000), Pm at (0.0000, 0.3685, 0.7726), Dy at (0.0000, 0.0000, 0.3943) and Dy at (0.3333, 0.6667, 0.5000).

=====

[6]
Entry from Alexandria via LeMat-Bulk: an optimized crystal structure of Ac2Pm9Dy (PBE).

As for the energy of formation: 30 meV per atom. For the mass density, the calculation gives 7.459 Mg/m³. The value obtained for the density of states at the Fermi level is 1.698 states/eV/atom. For the total energy, the calculation gives -55.22 eV per cell.

The space group is P4/mmm (No. 123) and the conventional cell measures 5.223, 5.223 and 15.682 Å, with angles of 90.00, 90.00 and 90.00 degrees. The asymmetric unit holds Ac at (0.000, 0.000, 0.169), Pm at (0.000, 0.500, 0.000), Pm at (0.000, 0.500, 0.340), Pm at (0.500, 0.500, 0.170), Pm at (0.500, 0.500, 0.500) and Dy at (0.000, 0.000, 0.500).

=====

[7]
Entry from Alexandria via LeMat-Bulk: an optimized crystal structure of Ac2PmDy (PBE).

As for the energy of formation: 36 meV per atom. For the mass density, the calculation gives 8.227 Mg/m³. The value obtained for the density of states at the Fermi level is 1.311 states/eV/atom. For the total energy, the calculation gives -17.43 eV per cell.

The space group is P4/mmm (No. 123) and the conventional cell measures 5.442, 5.442 and 5.190 Å, with angles of 90.00, 90.00 and 90.00 degrees. The asymmetric unit holds Ac at (0.000, 0.500, 0.000), Pm at (0.000, 0.000, 0.500) and Dy at (0.500, 0.500, 0.500).

=====

[8]
Entry from Alexandria via LeMat-Bulk: an optimized crystal structure of Ac2PmDy (PBE).

As for the energy of formation: 57 meV per atom. For the mass density, the calculation gives 8.206 Mg/m³. The value obtained for the density of states at the Fermi level is 1.544 states/eV/atom. For the total energy, the calculation gives -52.03 eV per cell.

The space group is R3m (No. 160, hexagonal axes) and the conventional cell measures 3.8221, 3.8221 and 36.5411 Å, with angles of 90.00, 90.00 and 120.00 degrees. The asymmetric unit holds Ac at (0.0000, 0.0000, 0.0000), Ac at (0.0000, 0.0000, 0.1685), Pm at (0.0000, 0.0000, 0.4167) and Dy at (0.0000, 0.0000, 0.5851).

=====

[9]
Entry from Alexandria via LeMat-Bulk: an optimized crystal structure of Ac2Pm8Dy (PBE).

As for the energy of formation: 148 meV per atom. For the mass density, the calculation gives 7.345 Mg/m³. The value obtained for the density of states at the Fermi level is 1.589 states/eV/atom. For the total energy, the calculation gives -98.39 eV per cell.

The space group is C2/m (No. 12) and the conventional cell measures 16.862, 6.910 and 7.018 Å, with angles of 90.00, 100.82 and 90.00 degrees. The asymmetric unit holds Ac at (0.198, 0.000, 0.310), Pm at (0.086, 0.264, 0.897), Pm at (0.087, 0.500, 0.406), Pm at (0.245, 0.000, 0.822) and Dy at (0.000, 0.000, 0.500).

=====

[10]
Entry from Alexandria via LeMat-Bulk: an optimized crystal structure of Ac3PmDy8 (PBE).

As for the energy of formation: 590 meV per atom. For the mass density, the calculation gives 7.416 Mg/m³. The value obtained for the density of states at the Fermi level is 1.384 states/eV/atom. For the total energy, the calculation gives -93.63 eV per cell.

The space group is I-42m (No. 121) and the conventional cell measures 9.121, 9.121 and 11.444 Å, with angles of 90.00, 90.00 and 90.00 degrees. The asymmetric unit holds Ac at (0.000, 0.000, 0.000), Ac at (0.000, 0.500, 0.250), Pm at (0.000, 0.000, 0.500), Dy at (0.124, 0.124, 0.736) and Dy at (0.230, 0.230, 0.466).

=====

[11]
Entry from Alexandria via LeMat-Bulk: an optimized crystal structure of Ac2PmDy (PBE).

As for the energy of formation: 37 meV per atom. For the mass density, the calculation gives 8.276 Mg/m³. The value obtained for the density of states at the Fermi level is 1.101 states/eV/atom. For the total energy, the calculation gives -34.85 eV per cell.

The space group is C2/m (No. 12) and the conventional cell measures 12.244, 3.828 and 6.627 Å, with angles of 90.00, 100.28 and 90.00 degrees. The asymmetric unit holds Ac at (0.248, 0.000, 0.248), Pm at (0.000, 0.000, 0.500) and Dy at (0.000, 0.500, 0.000).

=====

[12]
Entry from Alexandria via LeMat-Bulk: an optimized crystal structure of AcPm3Dy2 (PBE).

As for the energy of formation: 207 meV per atom. For the mass density, the calculation gives 7.806 Mg/m³. The value obtained for the density of states at the Fermi level is 1.138 states/eV/atom. For the total energy, the calculation gives -105.30 eV per cell.

The space group is Cmcm (No. 63) and the conventional cell measures 11.188, 11.010 and 6.818 Å, with angles of 90.00, 90.00 and 90.00 degrees. The asymmetric unit holds Ac at (0.000, 0.105, 0.250), Pm at (0.000, 0.411, 0.250), Pm at (0.243, 0.500, 0.000) and Dy at (0.157, 0.250, 0.750).

=====

- Number 4 is which compound?
  Ac3Pm7Dy2

=====

- Which of these has the highest energy of formation?
  Ac3PmDy8

=====

- Which formula does entry 11 have?
  Ac2PmDy

=====

- Look up the mass density of the eighth one.
  8.206 Mg/m³